## BaNiN2F (GGA+U)

Data for a geometry-optimized BaNiN2F structure.

Summary:
Total moment: 3.03 μB/cell
Mass density: 3.7 Mg/m³
Crystal system: tetragonal
Final energy: -0.2438 Ry per atom
Excess energy over the best structure of this formula in the dataset: 1574.9 meV per atom
Density of states at the Fermi level: 3.332 states/eV/cell

Cell lengths 4.7411, 4.7411, 4.8326 Å; angles 90.00, 90.00, 90.00 degrees
With the nearest neighbours (Å) after each atom.
Sites, in units of the cell vectors:
Ba1 0.0000 0.0000 0.0000  4 N 2.37, 2 F 2.42
Ni1 0.5000 0.5000 0.5000  4 F 3.35, 8 N 3.38
N1 0.0000 0.5000 0.0000  2 Ba 2.37
N2 0.5000 0.0000 0.0000  2 Ba 2.37
F1 0.0000 0.0000 0.5000  2 Ba 2.42